Computed, not measured: a relaxed structure of CsMnCl3O2 at the PBE+U level of DFT.

Cell: 9.353 7.038 12.378 Å, 90.00 90.00 90.00°
Space group Pcca (No. 54)
Symmetry-distinct sites (fractional):
Cs  0.250  0.000  0.103
Mn  0.000  0.447  0.250
Cl  0.084  0.236  0.376
Cl  0.250  0.500  0.157
O  0.030  0.275  0.798

Calculated values
Energy in eV per cell: -124.4
V in Å³ per cell: 815